{"formula": "MgMnGeOs2", "functional": "PBE", "state": "relaxed", "lattice_angstrom": [[-0.782, -4.420, -0.695], [2.076, 0.245, -3.890], [3.932, -1.016, 2.035]], "species": ["Ge", "Mn", "Os", "Os", "Mg"], "fractional_positions": [[0.000, 0.500, 0.000], [0.000, 0.000, 0.000], [0.000, 0.000, 0.500], [0.500, 0.000, 0.000], [0.500, 0.500, 0.500]], "m_tot_mub_per_cell": 0.00, "mass_density_g_cm3": 9.70, "sg": "No. 123"}

{"formula": "MgMnGeRh", "functional": "PBE", "state": "relaxed", "lattice_angstrom": [[-3.678, 1.709, 1.625], [-3.393, -2.594, 0.921], [-1.108, -0.753, 4.159]], "species": ["Ge", "Mn", "Rh", "Mg"], "fractional_positions": [[0.250, 0.250, 0.250], [0.500, 0.500, 0.500], [0.000, 0.000, 0.000], [0.750, 0.750, 0.750]], "m_tot_mub_per_cell": 3.56, "mass_density_g_cm3": 7.17, "sg": "No. 216"}

{"formula": "MgMnGeRu", "functional": "PBE", "state": "relaxed", "lattice_angstrom": [[4.320, 0.000, 0.000], [2.160, 3.742, 0.000], [2.160, 1.247, 3.528]], "species": ["Ru", "Ge", "Mn", "Mg"], "fractional_positions": [[0.500, 0.500, 0.500], [0.250, 0.250, 0.250], [0.000, 0.000, 0.000], [0.750, 0.750, 0.750]], "m_tot_mub_per_cell": 2.90, "mass_density_g_cm3": 7.37, "sg": "No. 216"}

{"formula": "MgMnTcGe", "functional": "PBE", "state": "relaxed", "lattice_angstrom": [[4.348, 0.000, 0.000], [2.174, 3.766, 0.000], [2.174, 1.255, 3.551]], "species": ["Mg", "Ge", "Mn", "Tc"], "fractional_positions": [[0.250, 0.250, 0.250], [0.500, 0.500, 0.500], [0.000, 0.000, 0.000], [0.750, 0.750, 0.750]], "m_tot_mub_per_cell": 2.01, "mass_density_g_cm3": 7.14, "sg": "No. 216"}

{"formula": "ThMg2MnGe2", "functional": "PBE", "state": "relaxed", "lattice_angstrom": [[-2.613, 4.444, -0.890], [-1.624, -1.877, -4.605], [-2.209, -3.353, 5.117]], "species": ["Th", "Mg", "Mg", "Mn", "Ge", "Ge"], "fractional_positions": [[0.500, 0.500, 0.000], [0.250, 0.750, 0.500], [0.750, 0.250, 0.500], [0.000, 0.000, 0.000], [0.781, 0.781, 0.562], [0.219, 0.219, 0.438]], "m_tot_mub_per_cell": 3.63, "mass_density_g_cm3": 5.45, "sg": "No. 139"}

{"formula": "Mg2MnTlGe", "functional": "PBE", "state": "relaxed", "lattice_angstrom": [[5.022, 0.000, 0.000], [0.000, 5.508, 0.000], [0.000, 0.000, 5.022]], "species": ["Mg", "Mg", "Tl", "Mn", "Ge"], "fractional_positions": [[0.000, 0.000, 0.500], [0.500, 0.000, 0.000], [0.000, 0.500, 0.000], [0.500, 0.500, 0.500], [0.000, 0.000, 0.000]], "m_tot_mub_per_cell": 4.23, "mass_density_g_cm3": 4.55, "sg": "No. 123"}

no.,final energy (eV/f.u.),formation energy (meV/atom)
1,-32.77,1014
2,-23.63,-225
3,-24.93,-69
4,-25.59,40
5,-27.61,234
6,-16.30,609